The following is a DFT calculation (PBE with a Hubbard U) of an optimized crystal structure of YCo4Cu3O12.

D(E_F)   0.15 states/eV per atom
Magnetization   8.00 μB/cell
Calculated total energy   -120.6 eV/cell

a = 6.3031 Å, b = 6.3031 Å, c = 6.3031 Å
α = 109.47°, β = 109.47°, γ = 109.47°
Element x y z (fractional)
Y 0.0000 0.0000 0.0000
Co 0.0000 0.0000 0.5000
Co 0.0000 0.5000 0.0000
Co 0.5000 0.0000 0.0000
Co 0.5000 0.5000 0.5000
Cu 0.0000 0.5000 0.5000
Cu 0.5000 0.0000 0.5000
Cu 0.5000 0.5000 0.0000
O 0.1342 0.3053 0.8289
O 0.1711 0.4764 0.3053
O 0.1711 0.8658 0.6947
O 0.3053 0.1711 0.4764
O 0.3053 0.8289 0.1342
O 0.4764 0.3053 0.1711
O 0.5236 0.6947 0.8289
O 0.6947 0.1711 0.8658
O 0.6947 0.8289 0.5236
O 0.8289 0.1342 0.3053
O 0.8289 0.5236 0.6947
O 0.8658 0.6947 0.1711